[1]
The following is a PBE calculation of crystalline Dy2GaCo3 at its relaxed geometry, from the Alexandria database.

Summary:
For the total energy, the calculation gives -5.913 eV per atom. For the mass density, the calculation gives 9.933 Mg/m³.

The structure in CIF format:
```
data_Dy2GaCo3
_chemical_formula_sum 'Dy4 Ga2 Co6'
_cell_length_a 5.2295
_cell_length_b 5.2295
_cell_length_c 8.0685
_cell_angle_alpha 90.00
_cell_angle_beta 90.00
_cell_angle_gamma 120.00
_space_group_name_H-M_alt 'P 63/m m c'
_space_group_IT_number 194
_space_group_name_Hall '-P 6c 2c'
loop_
_atom_site_label
_atom_site_type_symbol
_atom_site_fract_x
_atom_site_fract_y
_atom_site_fract_z
Dy1 Dy 0.3333 0.6667 0.0652
Ga1 Ga 0.0000 0.0000 0.0000
Co1 Co 0.1739 0.3478 0.7500
```

***

[2]
The following is a PBE calculation of crystalline DyGa4Co4 at its relaxed geometry, from the Alexandria database.

Summary:
For the total energy, the calculation gives -5.301 eV per atom. For the mass density, the calculation gives 8.536 Mg/m³.

The structure in CIF format:
```
data_DyGa4Co4
_chemical_formula_sum 'Dy2 Ga8 Co8'
_cell_length_a 5.5083
_cell_length_b 5.5083
_cell_length_c 8.6826
_cell_angle_alpha 90.00
_cell_angle_beta 90.00
_cell_angle_gamma 90.00
_space_group_name_H-M_alt 'P 42/n m c'
_space_group_IT_number 137
loop_
_space_group_symop_operation_xyz
'x,y,z'
'-x,-y,-z'
'-y+1/2,x,z+1/2'
'y+1/2,-x,-z+1/2'
'-x+1/2,-y+1/2,z'
'x+1/2,y+1/2,-z'
'y,-x+1/2,z+1/2'
'-y,x+1/2,-z+1/2'
'x+1/2,-y,-z'
'-x+1/2,y,z'
'-y,-x,-z+1/2'
'y,x,z+1/2'
'-x,y+1/2,-z'
'x,-y+1/2,z'
'y+1/2,x+1/2,-z+1/2'
'-y+1/2,-x+1/2,z+1/2'
loop_
_atom_site_label
_atom_site_type_symbol
_atom_site_fract_x
_atom_site_fract_y
_atom_site_fract_z
Dy1 Dy 0.2500 0.7500 0.2500
Ga1 Ga 0.0246 0.2500 0.0508
Co1 Co 0.0357 0.2500 0.3337
```

***

Record-wise size of the total moment values, in Bohr magnetons per cell: 2.7, 5.0